# GeWF3 PBE+U relaxed
data_GeWF3
_chemical_formula_sum 'Ge1 W1 F3'
_cell_length_a 4.344
_cell_length_b 4.344
_cell_length_c 4.344
_cell_angle_alpha 90.00
_cell_angle_beta 90.00
_cell_angle_gamma 90.00
_symmetry_space_group_name_H-M 'P m -3 m'
_symmetry_Int_Tables_number 221
_symmetry_space_group_name_Hall '-P 4 2 3'
loop_
_atom_site_label
_atom_site_fract_x
_atom_site_fract_y
_atom_site_fract_z
_atom_site_occupancy
Ge1 0.000 0.000 0.000 1
W1 0.500 0.500 0.500 1
F1 0.000 0.500 0.500 1
# Spin magnetization   2.88 μB/f.u.
# D(E_F)   2.47 states/eV per cell
# Uncorrected energy   -24.0 eV per cell
# Excess energy over the best structure of this formula in the dataset   0.0000 eV per atom